# CuRh2W

A relaxed CuRh2W crystal (GGA-PBE, Alexandria via LeMat-Bulk).

a b c (Å): 3.6550 2.7868 6.2108
angles (deg): 63.38 90.00 90.00
Sites, in units of the cell vectors:
W  0.5000  0.2500  0.2500
Rh  0.0000  0.4940  0.5059
Rh  0.0000  0.0060  0.9941
Cu  0.5000  0.7500  0.7500

DFT formation energy, meV/atom: -138
E above lowest polymorph, eV per formula unit: 0.04
Final energy, eV/f.u.: -32.30
Mass density, g cm⁻³: 13.31